Entry 1:
Here is an optimized crystal structure of Ac2DySe3 from the Alexandria database. Energies are from PBE.

Computed properties:
Calculated total energy in eV/atom: -5.6872
Space-group type: Fddd
Formation energy (no corrections) in eV per atom: -1.808

Cell: 14.2280 13.5660 7.5497 Å, 79.14 69.45 31.41°
Fractional coordinates of all 24 atoms:
Ac (0.0448, 0.0448, 0.2052)
Ac (0.1225, 0.1225, 0.6275)
Ac (0.2052, 0.2052, 0.0448)
Ac (0.3725, 0.3725, 0.8775)
Ac (0.6275, 0.6275, 0.1225)
Ac (0.7948, 0.7948, 0.9552)
Ac (0.8775, 0.8775, 0.3725)
Ac (0.9552, 0.9552, 0.7948)
Dy (0.2918, 0.2918, 0.4582)
Dy (0.4582, 0.4582, 0.2918)
Dy (0.5418, 0.5418, 0.7082)
Dy (0.7082, 0.7082, 0.5418)
Se (0.0365, 0.5386, 0.2343)
Se (0.1502, 0.5998, 0.5998)
Se (0.2343, 0.6905, 0.0365)
Se (0.3095, 0.7657, 0.4614)
Se (0.4002, 0.8498, 0.8498)
Se (0.4614, 0.9635, 0.3095)
Se (0.5386, 0.0365, 0.6905)
Se (0.5998, 0.1502, 0.1502)
Se (0.6905, 0.2343, 0.5386)
Se (0.7657, 0.3095, 0.9635)
Se (0.8498, 0.4002, 0.4002)
Se (0.9635, 0.4614, 0.7657)



Entry 2:
Here is an optimized crystal structure of AcDySe3 from the Alexandria database. Energies are from PBE.

Computed properties:
Calculated total energy in eV/atom: -5.7664
Space-group type: Pmmn
Formation energy (no corrections) in eV per atom: -1.934

Cell: 4.3023 7.0791 9.3513 Å, 90.00 90.00 90.00°
Fractional coordinates of all 10 atoms:
Ac (0.2500, 0.2500, 0.1499)
Ac (0.7500, 0.7500, 0.8501)
Dy (0.2500, 0.7500, 0.4022)
Dy (0.7500, 0.2500, 0.5978)
Se (0.2500, 0.5146, 0.6590)
Se (0.2500, 0.7500, 0.0802)
Se (0.2500, 0.9854, 0.6590)
Se (0.7500, 0.0146, 0.3410)
Se (0.7500, 0.2500, 0.9198)
Se (0.7500, 0.4854, 0.3410)



Entry 3:
Here is an optimized crystal structure of Ac5Dy3Se8 from the Alexandria database. Energies are from PBE.

Computed properties:
Calculated total energy in eV/atom: -5.6849
Space-group type: R-3m
Formation energy (no corrections) in eV per atom: -1.796

Cell: 8.7742 8.7742 8.7742 Å, 58.16 58.16 58.16°
Fractional coordinates of all 16 atoms:
Ac (0.0000, 0.0000, 0.0000)
Ac (0.0000, 0.5000, 0.5000)
Ac (0.5000, 0.0000, 0.5000)
Ac (0.5000, 0.5000, 0.0000)
Ac (0.5000, 0.5000, 0.5000)
Dy (0.0000, 0.0000, 0.5000)
Dy (0.0000, 0.5000, 0.0000)
Dy (0.5000, 0.0000, 0.0000)
Se (0.2284, 0.7498, 0.7498)
Se (0.2399, 0.2399, 0.2399)
Se (0.2502, 0.2502, 0.7716)
Se (0.2502, 0.7716, 0.2502)
Se (0.7498, 0.2284, 0.7498)
Se (0.7498, 0.7498, 0.2284)
Se (0.7601, 0.7601, 0.7601)
Se (0.7716, 0.2502, 0.2502)



Entry 4:
Here is an optimized crystal structure of AcDySe2 from the Alexandria database. Energies are from PBE.

Computed properties:
Calculated total energy in eV/atom: -5.3266
Space-group type: Pmn2_1
Formation energy (no corrections) in eV per atom: -1.407

Cell: 4.4474 9.5353 6.8472 Å, 90.00 90.00 90.00°
Fractional coordinates of all 8 atoms:
Ac (0.0000, 0.0933, 0.0000)
Ac (0.5000, 0.9067, 0.5000)
Dy (0.0000, 0.6488, 0.8750)
Dy (0.5000, 0.3512, 0.3750)
Se (0.0000, 0.4143, 0.1422)
Se (0.0000, 0.8133, 0.2073)
Se (0.5000, 0.1867, 0.7073)
Se (0.5000, 0.5857, 0.6422)



Entry 5:
Here is an optimized crystal structure of AcDy4Se8 from the Alexandria database. Energies are from PBE.

Computed properties:
Calculated total energy in eV/atom: -5.6416
Space-group type: R-3m
Formation energy (no corrections) in eV per atom: -1.765

Cell: 8.7256 8.7256 8.7256 Å, 55.88 55.88 55.88°
Fractional coordinates of all 13 atoms:
Ac (0.0000, 0.0000, 0.0000)
Dy (0.0000, 0.0000, 0.5000)
Dy (0.0000, 0.5000, 0.0000)
Dy (0.5000, 0.0000, 0.0000)
Dy (0.5000, 0.5000, 0.5000)
Se (0.2388, 0.2388, 0.2388)
Se (0.2428, 0.7408, 0.7408)
Se (0.2592, 0.2592, 0.7572)
Se (0.2592, 0.7572, 0.2592)
Se (0.7408, 0.2428, 0.7408)
Se (0.7408, 0.7408, 0.2428)
Se (0.7572, 0.2592, 0.2592)
Se (0.7612, 0.7612, 0.7612)



Entry 6:
Here is an optimized crystal structure of Ac3Dy5Se12 from the Alexandria database. Energies are from PBE.

Computed properties:
Calculated total energy in eV/atom: -5.6931
Space-group type: Ia-3d
Formation energy (no corrections) in eV per atom: -1.836

Cell: 15.0009 15.0009 15.0009 Å, 109.47 109.47 109.47°
Fractional coordinates of all 80 atoms:
Ac (0.1250, 0.2500, 0.3750)
Ac (0.1250, 0.3750, 0.7500)
Ac (0.2500, 0.3750, 0.1250)
Ac (0.2500, 0.8750, 0.6250)
Ac (0.3750, 0.1250, 0.2500)
Ac (0.3750, 0.7500, 0.1250)
Ac (0.6250, 0.2500, 0.8750)
Ac (0.6250, 0.8750, 0.7500)
Ac (0.7500, 0.1250, 0.3750)
Ac (0.7500, 0.6250, 0.8750)
Ac (0.8750, 0.6250, 0.2500)
Ac (0.8750, 0.7500, 0.6250)
Dy (0.0000, 0.0000, 0.0000)
Dy (0.0000, 0.0000, 0.5000)
Dy (0.0000, 0.5000, 0.0000)
Dy (0.0000, 0.5000, 0.5000)
Dy (0.1250, 0.7500, 0.8750)
Dy (0.1250, 0.8750, 0.2500)
Dy (0.2500, 0.1250, 0.8750)
Dy (0.2500, 0.6250, 0.3750)
Dy (0.3750, 0.2500, 0.6250)
Dy (0.3750, 0.6250, 0.7500)
Dy (0.5000, 0.0000, 0.0000)
Dy (0.5000, 0.0000, 0.5000)
Dy (0.5000, 0.5000, 0.0000)
Dy (0.5000, 0.5000, 0.5000)
Dy (0.6250, 0.3750, 0.2500)
Dy (0.6250, 0.7500, 0.3750)
Dy (0.7500, 0.3750, 0.6250)
Dy (0.7500, 0.8750, 0.1250)
Dy (0.8750, 0.1250, 0.7500)
Dy (0.8750, 0.2500, 0.1250)
Se (0.0405, 0.2155, 0.1268)
Se (0.0405, 0.3250, 0.9137)
Se (0.0863, 0.6268, 0.4113)
Se (0.0863, 0.9595, 0.6750)
Se (0.0887, 0.7155, 0.6750)
Se (0.0887, 0.8732, 0.4137)
Se (0.1268, 0.0405, 0.2155)
Se (0.1268, 0.5863, 0.9113)
Se (0.1750, 0.2155, 0.5887)
Se (0.1750, 0.4595, 0.5863)
Se (0.2155, 0.1268, 0.0405)
Se (0.2155, 0.5887, 0.1750)
Se (0.2845, 0.3250, 0.9113)
Se (0.2845, 0.4595, 0.3732)
Se (0.3250, 0.9113, 0.2845)
Se (0.3250, 0.9137, 0.0405)
Se (0.3732, 0.2845, 0.4595)
Se (0.3732, 0.5887, 0.9137)
Se (0.4113, 0.0863, 0.6268)
Se (0.4113, 0.8250, 0.7845)
Se (0.4137, 0.0887, 0.8732)
Se (0.4137, 0.8250, 0.5405)
Se (0.4595, 0.3732, 0.2845)
Se (0.4595, 0.5863, 0.1750)
Se (0.5405, 0.4137, 0.8250)
Se (0.5405, 0.6268, 0.7155)
Se (0.5863, 0.1750, 0.4595)
Se (0.5863, 0.9113, 0.1268)
Se (0.5887, 0.1750, 0.2155)
Se (0.5887, 0.9137, 0.3732)
Se (0.6268, 0.4113, 0.0863)
Se (0.6268, 0.7155, 0.5405)
Se (0.6750, 0.0863, 0.9595)
Se (0.6750, 0.0887, 0.7155)
Se (0.7155, 0.5405, 0.6268)
Se (0.7155, 0.6750, 0.0887)
Se (0.7845, 0.4113, 0.8250)
Se (0.7845, 0.8732, 0.9595)
Se (0.8250, 0.5405, 0.4137)
Se (0.8250, 0.7845, 0.4113)
Se (0.8732, 0.4137, 0.0887)
Se (0.8732, 0.9595, 0.7845)
Se (0.9113, 0.1268, 0.5863)
Se (0.9113, 0.2845, 0.3250)
Se (0.9137, 0.0405, 0.3250)
Se (0.9137, 0.3732, 0.5887)
Se (0.9595, 0.6750, 0.0863)
Se (0.9595, 0.7845, 0.8732)



Entry 7:
Here is an optimized crystal structure of AcDySe2 from the Alexandria database. Energies are from PBE.

Computed properties:
Calculated total energy in eV/atom: -5.6878
Space-group type: R3m
Formation energy (no corrections) in eV per atom: -1.768

Cell: 7.9024 7.9024 7.9024 Å, 30.41 30.41 30.41°
Fractional coordinates of all 4 atoms:
Ac (0.0000, 0.0000, 0.0000)
Dy (0.1756, 0.1756, 0.1756)
Se (0.5770, 0.5770, 0.5770)
Se (0.7645, 0.7645, 0.7645)



Entry 8:
Here is an optimized crystal structure of AcDy3Se6 from the Alexandria database. Energies are from PBE.

Computed properties:
Calculated total energy in eV/atom: -5.8180
Space-group type: P2_1/m
Formation energy (no corrections) in eV per atom: -1.936

Cell: 11.7266 4.2214 12.0327 Å, 90.00 109.14 90.00°
Fractional coordinates of all 20 atoms:
Ac (0.0526, 0.2500, 0.1979)
Ac (0.9474, 0.7500, 0.8021)
Dy (0.1600, 0.2500, 0.5892)
Dy (0.3221, 0.7500, 0.0005)
Dy (0.4485, 0.2500, 0.3347)
Dy (0.5515, 0.7500, 0.6653)
Dy (0.6779, 0.2500, 0.9995)
Dy (0.8400, 0.7500, 0.4108)
Se (0.0842, 0.7500, 0.4109)
Se (0.1250, 0.2500, 0.9649)
Se (0.2012, 0.7500, 0.7494)
Se (0.2738, 0.7500, 0.2313)
Se (0.3898, 0.2500, 0.5533)
Se (0.4807, 0.2500, 0.1122)
Se (0.5193, 0.7500, 0.8878)
Se (0.6102, 0.7500, 0.4467)
Se (0.7262, 0.2500, 0.7687)
Se (0.7988, 0.2500, 0.2506)
Se (0.8750, 0.7500, 0.0351)
Se (0.9158, 0.2500, 0.5891)



Copy entry 5 word for word.
Here is an optimized crystal structure of AcDy4Se8 from the Alexandria database. Energies are from PBE.

Computed properties:
Calculated total energy in eV/atom: -5.6416
Space-group type: R-3m
Formation energy (no corrections) in eV per atom: -1.765

Cell: 8.7256 8.7256 8.7256 Å, 55.88 55.88 55.88°
Fractional coordinates of all 13 atoms:
Ac (0.0000, 0.0000, 0.0000)
Dy (0.0000, 0.0000, 0.5000)
Dy (0.0000, 0.5000, 0.0000)
Dy (0.5000, 0.0000, 0.0000)
Dy (0.5000, 0.5000, 0.5000)
Se (0.2388, 0.2388, 0.2388)
Se (0.2428, 0.7408, 0.7408)
Se (0.2592, 0.2592, 0.7572)
Se (0.2592, 0.7572, 0.2592)
Se (0.7408, 0.2428, 0.7408)
Se (0.7408, 0.7408, 0.2428)
Se (0.7572, 0.2592, 0.2592)
Se (0.7612, 0.7612, 0.7612)



Copy entry 2 word for word.
Here is an optimized crystal structure of AcDySe3 from the Alexandria database. Energies are from PBE.

Computed properties:
Calculated total energy in eV/atom: -5.7664
Space-group type: Pmmn
Formation energy (no corrections) in eV per atom: -1.934

Cell: 4.3023 7.0791 9.3513 Å, 90.00 90.00 90.00°
Fractional coordinates of all 10 atoms:
Ac (0.2500, 0.2500, 0.1499)
Ac (0.7500, 0.7500, 0.8501)
Dy (0.2500, 0.7500, 0.4022)
Dy (0.7500, 0.2500, 0.5978)
Se (0.2500, 0.5146, 0.6590)
Se (0.2500, 0.7500, 0.0802)
Se (0.2500, 0.9854, 0.6590)
Se (0.7500, 0.0146, 0.3410)
Se (0.7500, 0.2500, 0.9198)
Se (0.7500, 0.4854, 0.3410)